(1)
An optimized crystal structure of Ca2AlW, computed with PBE.

Calculated values
As for the density: 5.432 g cm⁻³. The final energy comes out at -4.542 eV per atom. The density of states at the Fermi level is 3.33 states/eV per cell. As for the formation energy: 61 kJ/mol of atoms.

Cell lengths 5.823, 5.823, 2.998 Å; angles 91.85, 91.85, 118.77 degrees
Sites, in units of the cell vectors:
Ca  0.000  0.500  0.000
Ca  0.500  0.000  0.000
Al  0.000  0.000  0.500
W  0.500  0.500  0.500

---

(2)
An optimized crystal structure of Al5V4Si, computed with PBE.

Calculated values
As for the density: 3.868 g cm⁻³. The uncorrected formation energy is 66 meV per atom. The final energy comes out at -5.995 eV per atom. The density of states at the Fermi level is 6.55 states/eV per cell.

Cell lengths 7.284, 7.284, 8.329 Å; angles 101.84, 101.84, 21.37 degrees
Sites, in units of the cell vectors:
Al  0.000  0.000  0.000
Al  0.308  0.308  0.141
Al  0.337  0.337  0.747
Al  0.663  0.663  0.253
Al  0.692  0.692  0.859
V  0.171  0.171  0.549
V  0.488  0.488  0.259
V  0.512  0.512  0.741
V  0.829  0.829  0.451
Si  0.000  0.000  0.500

---

(3)
An optimized crystal structure of AcDy6Y8, computed with PBE.

Calculated values
As for the density: 6.383 g cm⁻³. The final energy comes out at -5.397 eV per atom. The density of states at the Fermi level is 33.80 states/eV per cell. As for the formation energy: 16 kJ/mol of atoms.

Cell lengths 8.991, 8.991, 8.991 Å; angles 58.63, 58.63, 58.63 degrees
Sites, in units of the cell vectors:
Ac  0.000  0.000  0.000
Dy  0.063  0.518  0.279
Dy  0.279  0.063  0.518
Dy  0.482  0.721  0.937
Dy  0.518  0.279  0.063
Dy  0.721  0.937  0.482
Dy  0.937  0.482  0.721
Y  0.122  0.665  0.807
Y  0.193  0.878  0.335
Y  0.335  0.193  0.878
Y  0.419  0.419  0.419
Y  0.581  0.581  0.581
Y  0.665  0.807  0.122
Y  0.807  0.122  0.665
Y  0.878  0.335  0.193

---

(4)
An optimized crystal structure of TiV2Os, computed with PBE.

Calculated values
As for the density: 9.998 g cm⁻³. The final energy comes out at -9.619 eV per atom. The density of states at the Fermi level is 5.84 states/eV per cell. As for the formation energy: -27 kJ/mol of atoms.

Cell lengths 4.329, 4.329, 3.014 Å; angles 90.00, 90.00, 90.00 degrees
Sites, in units of the cell vectors:
Ti  0.000  0.000  0.000
V  0.000  0.500  0.500
V  0.500  0.000  0.500
Os  0.500  0.500  0.000

---

(5)
An optimized crystal structure of LiPr2InO, computed with PBE.

Calculated values
As for the density: 6.226 g cm⁻³. The uncorrected formation energy is -1336 meV per atom. The final energy comes out at -5.170 eV per atom. The density of states at the Fermi level is 2.73 states/eV per cell.

Cell lengths 5.045, 5.045, 4.396 Å; angles 90.00, 90.00, 90.00 degrees
Sites, in units of the cell vectors:
Li  0.000  0.000  0.000
Pr  0.000  0.500  0.500
Pr  0.500  0.000  0.500
In  0.500  0.500  0.000
O  0.000  0.000  0.500

---

(6)
An optimized crystal structure of CsCdSn3, computed with PBE.

Calculated values
As for the density: 5.220 g cm⁻³. The final energy comes out at -2.489 eV per atom. The density of states at the Fermi level is 3.69 states/eV per cell. The calculation puts the energy relative to the lowest polymorph listed for this composition at 427 meV/atom. As for the formation energy: 26 kJ/mol of atoms.

Cell lengths 5.762, 5.762, 5.762 Å; angles 90.00, 90.00, 90.00 degrees
Sites, in units of the cell vectors:
Cs  0.000  0.000  0.000
Cd  0.500  0.500  0.500
Sn  0.000  0.500  0.500
Sn  0.500  0.000  0.500
Sn  0.500  0.500  0.000

---

(7)
An optimized crystal structure of BeSn2SbAs, computed with PBE.

Calculated values
As for the density: 4.763 g cm⁻³. The uncorrected formation energy is 1017 meV per atom. The final energy comes out at -3.084 eV per atom. The density of states at the Fermi level is 2.73 states/eV per cell.

Cell lengths 5.369, 5.369, 5.359 Å; angles 90.00, 90.00, 90.00 degrees
Sites, in units of the cell vectors:
Be  0.000  0.000  0.000
Sn  0.000  0.500  0.500
Sn  0.500  0.000  0.500
Sb  0.500  0.500  0.000
As  0.500  0.500  0.500

---

(8)
An optimized crystal structure of Cs3Y2HfTe6, computed with PBE.

Calculated values
As for the density: 5.529 g cm⁻³. The uncorrected formation energy is -1202 meV per atom. The final energy comes out at -4.893 eV per atom. The density of states at the Fermi level is 4.76 states/eV per cell.

Cell lengths 7.680, 7.680, 9.301 Å; angles 97.92, 97.92, 120.00 degrees
Sites, in units of the cell vectors:
Cs  0.000  0.000  0.000
Cs  0.328  0.672  0.000
Cs  0.672  0.328  0.000
Y  0.166  0.834  0.500
Y  0.834  0.166  0.500
Hf  0.500  0.500  0.500
Te  0.120  0.438  0.312
Te  0.246  0.246  0.690
Te  0.438  0.120  0.312
Te  0.562  0.880  0.688
Te  0.754  0.754  0.310
Te  0.880  0.562  0.688

---

(9)
An optimized crystal structure of KTa2Te, computed with PBE.

Calculated values
As for the density: 8.801 g cm⁻³. The uncorrected formation energy is 385 meV per atom. The final energy comes out at -6.601 eV per atom. The density of states at the Fermi level is 2.43 states/eV per cell.

Cell lengths 3.213, 3.213, 10.112 Å; angles 90.00, 90.00, 107.23 degrees
Sites, in units of the cell vectors:
K  0.000  0.000  0.000
Ta  0.000  0.000  0.503
Ta  0.500  0.500  0.690
Te  0.500  0.500  0.290

---

(10)
An optimized crystal structure of Cs6Au2I2O, computed with PBE.

Calculated values
As for the density: 4.101 g cm⁻³. The uncorrected formation energy is -933 meV per atom. The final energy comes out at -2.727 eV per atom.

Cell lengths 8.681, 8.681, 9.196 Å; angles 99.77, 99.77, 115.74 degrees
Sites, in units of the cell vectors:
Cs  0.055  0.353  0.699
Cs  0.187  0.187  0.306
Cs  0.353  0.055  0.699
Cs  0.647  0.945  0.301
Cs  0.813  0.813  0.694
Cs  0.945  0.647  0.301
Au  0.345  0.655  0.500
Au  0.655  0.345  0.500
I  0.184  0.816  0.000
I  0.816  0.184  0.000
O  0.000  0.000  0.500

---

(11)
An optimized crystal structure of MgMo2P, computed with PBE.

Calculated values
As for the density: 6.772 g cm⁻³. The final energy comes out at -6.956 eV per atom. The density of states at the Fermi level is 2.40 states/eV per cell. The calculation puts the energy relative to the lowest polymorph listed for this composition at 213 meV/atom. As for the formation energy: 20 kJ/mol of atoms.

Cell lengths 3.422, 4.167, 4.250 Å; angles 90.00, 90.00, 90.00 degrees
Sites, in units of the cell vectors:
Mg  0.000  0.000  0.000
Mo  0.000  0.500  0.500
Mo  0.500  0.500  0.000
P  0.500  0.000  0.500

---

(12)
An optimized crystal structure of Pr2SmTe4, computed with PBE.

Calculated values
As for the density: 6.278 g cm⁻³. The uncorrected formation energy is -1401 meV per atom. The final energy comes out at -5.236 eV per atom. The density of states at the Fermi level is 5.63 states/eV per cell. The calculation puts the energy relative to the lowest polymorph listed for this composition at 12 meV/atom.

Cell lengths 7.760, 7.760, 15.374 Å; angles 90.00, 90.00, 147.41 degrees
Sites, in units of the cell vectors:
Pr  0.132  0.868  0.570
Pr  0.132  0.868  0.930
Pr  0.868  0.132  0.070
Pr  0.868  0.132  0.430
Sm  0.373  0.627  0.750
Sm  0.627  0.373  0.250
Te  0.027  0.973  0.750
Te  0.219  0.781  0.125
Te  0.219  0.781  0.375
Te  0.500  0.500  0.000
Te  0.500  0.500  0.500
Te  0.781  0.219  0.625
Te  0.781  0.219  0.875
Te  0.973  0.027  0.250